# 1
# Sr2NbAuCl, relaxed, DFT PBE
# **Space group**: No. 123
data_Sr2NbAuCl
_chemical_formula_sum 'Sr2 Nb1 Au1 Cl1'
_symmetry_space_group_name_H-M 'P 1'
_symmetry_Int_Tables_number 1
_cell_length_a 6.034
_cell_length_b 4.670
_cell_length_c 6.034
_cell_angle_alpha 90.00
_cell_angle_beta 90.00
_cell_angle_gamma 90.00
loop_
_symmetry_equiv_pos_as_xyz
'x,y,z'
loop_
_atom_site_label
_atom_site_fract_x
_atom_site_fract_y
_atom_site_fract_z
Sr1 0.000 0.000 0.500
Sr2 0.500 0.000 0.000
Nb1 0.000 0.000 0.000
Cl1 0.000 0.500 0.000
Au1 0.500 0.500 0.500

---

# 2
# NbV2AuCl, relaxed, DFT PBE
# **Space group**: No. 123
data_NbV2AuCl
_chemical_formula_sum 'Nb1 V2 Au1 Cl1'
_symmetry_space_group_name_H-M 'P 1'
_symmetry_Int_Tables_number 1
_cell_length_a 4.309
_cell_length_b 4.564
_cell_length_c 4.309
_cell_angle_alpha 90.00
_cell_angle_beta 90.00
_cell_angle_gamma 90.00
loop_
_symmetry_equiv_pos_as_xyz
'x,y,z'
loop_
_atom_site_label
_atom_site_fract_x
_atom_site_fract_y
_atom_site_fract_z
V1 0.500 0.000 0.000
V2 0.000 0.000 0.500
Nb1 0.000 0.500 0.000
Au1 0.500 0.500 0.500
Cl1 0.000 0.000 0.000

---

# 3
# Nb2ZnAuCl, relaxed, DFT PBE
# **Space group**: No. 123
data_Nb2ZnAuCl
_chemical_formula_sum 'Nb2 Zn1 Au1 Cl1'
_symmetry_space_group_name_H-M 'P 1'
_symmetry_Int_Tables_number 1
_cell_length_a 4.977
_cell_length_b 4.705
_cell_length_c 4.977
_cell_angle_alpha 90.00
_cell_angle_beta 90.00
_cell_angle_gamma 90.00
loop_
_symmetry_equiv_pos_as_xyz
'x,y,z'
loop_
_atom_site_label
_atom_site_fract_x
_atom_site_fract_y
_atom_site_fract_z
Au1 0.000 0.500 0.000
Nb1 0.000 0.000 0.500
Nb2 0.500 0.000 0.000
Cl1 0.500 0.500 0.500
Zn1 0.000 0.000 0.000

---

# 4
# Nd2AuCl2, relaxed, DFT PBE
# **Space group**: No. 166
data_Nd2AuCl2
_chemical_formula_sum 'Nd2 Au1 Cl2'
_symmetry_space_group_name_H-M 'P 1'
_symmetry_Int_Tables_number 1
_cell_length_a 4.118
_cell_length_b 4.118
_cell_length_c 10.952
_cell_angle_alpha 79.16
_cell_angle_beta 79.16
_cell_angle_gamma 60.00
loop_
_symmetry_equiv_pos_as_xyz
'x,y,z'
loop_
_atom_site_label
_atom_site_fract_x
_atom_site_fract_y
_atom_site_fract_z
Au1 0.000 0.000 0.000
Cl1 0.222 0.222 0.334
Cl2 0.778 0.778 0.666
Nd1 0.392 0.392 0.825
Nd2 0.608 0.608 0.175

---

# 5
# Nd4AuCl5, relaxed, DFT PBE
# **Space group**: No. 12
data_Nd4AuCl5
_chemical_formula_sum 'Nd4 Au1 Cl5'
_symmetry_space_group_name_H-M 'P 1'
_symmetry_Int_Tables_number 1
_cell_length_a 4.050
_cell_length_b 8.684
_cell_length_c 9.310
_cell_angle_alpha 102.57
_cell_angle_beta 102.56
_cell_angle_gamma 90.00
loop_
_symmetry_equiv_pos_as_xyz
'x,y,z'
loop_
_atom_site_label
_atom_site_fract_x
_atom_site_fract_y
_atom_site_fract_z
Nd1 0.995 0.759 0.991
Nd2 0.335 0.924 0.670
Nd3 0.665 0.076 0.330
Nd4 0.005 0.241 0.009
Cl1 0.167 0.834 0.333
Cl2 0.500 0.500 0.000
Cl3 0.832 0.687 0.663
Cl4 0.168 0.313 0.337
Cl5 0.833 0.166 0.667
Au1 0.500 0.000 0.000

---

# 6
# Nd6AuCl8, relaxed, DFT PBE
# **Space group**: No. 148
data_Nd6AuCl8
_chemical_formula_sum 'Nd6 Au1 Cl8'
_symmetry_space_group_name_H-M 'P 1'
_symmetry_Int_Tables_number 1
_cell_length_a 7.044
_cell_length_b 7.044
_cell_length_c 11.160
_cell_angle_alpha 71.60
_cell_angle_beta 71.60
_cell_angle_gamma 60.00
loop_
_symmetry_equiv_pos_as_xyz
'x,y,z'
loop_
_atom_site_label
_atom_site_fract_x
_atom_site_fract_y
_atom_site_fract_z
Cl1 0.565 0.890 0.326
Cl2 0.110 0.782 0.674
Cl3 0.435 0.110 0.674
Cl4 0.782 0.435 0.674
Cl5 0.666 0.666 0.001
Cl6 0.334 0.334 0.999
Cl7 0.890 0.218 0.326
Cl8 0.218 0.565 0.326
Nd1 0.722 0.054 0.835
Nd2 0.390 0.722 0.835
Nd3 0.278 0.946 0.165
Nd4 0.054 0.390 0.835
Nd5 0.946 0.610 0.165
Nd6 0.610 0.278 0.165
Au1 0.000 0.000 0.000

---

# 7
# Nd6Ni2AuCl3, relaxed, DFT PBE
# **Space group**: No. 12
data_Nd6Ni2AuCl3
_chemical_formula_sum 'Nd6 Ni2 Au1 Cl3'
_symmetry_space_group_name_H-M 'P 1'
_symmetry_Int_Tables_number 1
_cell_length_a 7.161
_cell_length_b 7.161
_cell_length_c 7.722
_cell_angle_alpha 98.93
_cell_angle_beta 98.93
_cell_angle_gamma 120.00
loop_
_symmetry_equiv_pos_as_xyz
'x,y,z'
loop_
_atom_site_label
_atom_site_fract_x
_atom_site_fract_y
_atom_site_fract_z
Nd1 0.929 0.574 0.788
Nd2 0.715 0.715 0.212
Nd3 0.426 0.071 0.212
Nd4 0.574 0.929 0.788
Nd5 0.071 0.426 0.212
Nd6 0.285 0.285 0.788
Au1 0.000 0.000 0.000
Cl1 0.500 0.500 0.500
Cl2 0.166 0.834 0.500
Cl3 0.834 0.166 0.500
Ni1 0.333 0.667 0.000
Ni2 0.667 0.333 0.000

---

# 8
# Nd6Os2AuCl3, relaxed, DFT PBE
# **Space group**: No. 12
data_Nd6Os2AuCl3
_chemical_formula_sum 'Nd6 Os2 Au1 Cl3'
_symmetry_space_group_name_H-M 'P 1'
_symmetry_Int_Tables_number 1
_cell_length_a 7.235
_cell_length_b 7.235
_cell_length_c 7.942
_cell_angle_alpha 98.53
_cell_angle_beta 98.53
_cell_angle_gamma 120.18
loop_
_symmetry_equiv_pos_as_xyz
'x,y,z'
loop_
_atom_site_label
_atom_site_fract_x
_atom_site_fract_y
_atom_site_fract_z
Nd1 0.932 0.575 0.793
Nd2 0.425 0.068 0.207
Nd3 0.068 0.425 0.207
Nd4 0.575 0.932 0.793
Nd5 0.291 0.291 0.793
Nd6 0.709 0.709 0.207
Os1 0.666 0.334 0.000
Os2 0.334 0.666 0.000
Cl1 0.500 0.500 0.500
Cl2 0.176 0.824 0.500
Cl3 0.824 0.176 0.500
Au1 0.000 0.000 0.000

---

# 9
# Nd6P2AuCl3, relaxed, DFT PBE
# **Space group**: No. 12
data_Nd6P2AuCl3
_chemical_formula_sum 'Nd6 P2 Au1 Cl3'
_symmetry_space_group_name_H-M 'P 1'
_symmetry_Int_Tables_number 1
_cell_length_a 4.143
_cell_length_b 8.538
_cell_length_c 9.414
_cell_angle_alpha 102.64
_cell_angle_beta 102.71
_cell_angle_gamma 90.00
loop_
_symmetry_equiv_pos_as_xyz
'x,y,z'
loop_
_atom_site_label
_atom_site_fract_x
_atom_site_fract_y
_atom_site_fract_z
P1 0.832 0.666 0.664
P2 0.168 0.334 0.336
Nd1 0.992 0.757 0.985
Nd2 0.674 0.564 0.348
Nd3 0.008 0.243 0.015
Nd4 0.326 0.436 0.652
Nd5 0.333 0.894 0.665
Nd6 0.667 0.106 0.335
Au1 0.500 0.000 0.000
Cl1 0.835 0.172 0.670
Cl2 0.165 0.828 0.330
Cl3 0.500 0.500 0.000

---

# 10
# Nd4PAuCl2, relaxed, DFT PBE
# **Space group**: No. 10
data_Nd4PAuCl2
_chemical_formula_sum 'Nd4 P1 Au1 Cl2'
_symmetry_space_group_name_H-M 'P 1'
_symmetry_Int_Tables_number 1
_cell_length_a 4.167
_cell_length_b 7.188
_cell_length_c 7.443
_cell_angle_alpha 70.91
_cell_angle_beta 90.00
_cell_angle_gamma 90.00
loop_
_symmetry_equiv_pos_as_xyz
'x,y,z'
loop_
_atom_site_label
_atom_site_fract_x
_atom_site_fract_y
_atom_site_fract_z
Nd1 0.000 0.264 0.252
Nd2 0.500 0.268 0.731
Nd3 0.500 0.732 0.269
Nd4 0.000 0.736 0.748
P1 0.000 0.500 0.500
Cl1 0.500 0.000 0.500
Cl2 0.000 0.000 0.000
Au1 0.500 0.500 0.000

---

# 11
# Nd4PtAuCl2, relaxed, DFT PBE
# **Space group**: No. 10
data_Nd4PtAuCl2
_chemical_formula_sum 'Nd4 Pt1 Au1 Cl2'
_symmetry_space_group_name_H-M 'P 1'
_symmetry_Int_Tables_number 1
_cell_length_a 4.220
_cell_length_b 7.657
_cell_length_c 7.339
_cell_angle_alpha 71.31
_cell_angle_beta 90.00
_cell_angle_gamma 90.00
loop_
_symmetry_equiv_pos_as_xyz
'x,y,z'
loop_
_atom_site_label
_atom_site_fract_x
_atom_site_fract_y
_atom_site_fract_z
Nd1 0.500 0.727 0.246
Nd2 0.500 0.273 0.754
Nd3 0.000 0.279 0.234
Nd4 0.000 0.721 0.766
Cl1 0.000 0.000 0.000
Cl2 0.500 0.000 0.500
Pt1 0.500 0.500 0.000
Au1 0.000 0.500 0.500

---

# 12
# Nd6Ru2AuCl3, relaxed, DFT PBE
# **Space group**: No. 12
data_Nd6Ru2AuCl3
_chemical_formula_sum 'Nd6 Ru2 Au1 Cl3'
_symmetry_space_group_name_H-M 'P 1'
_symmetry_Int_Tables_number 1
_cell_length_a 7.170
_cell_length_b 7.170
_cell_length_c 7.966
_cell_angle_alpha 98.47
_cell_angle_beta 98.47
_cell_angle_gamma 120.12
loop_
_symmetry_equiv_pos_as_xyz
'x,y,z'
loop_
_atom_site_label
_atom_site_fract_x
_atom_site_fract_y
_atom_site_fract_z
Nd1 0.575 0.932 0.793
Nd2 0.425 0.068 0.207
Nd3 0.068 0.425 0.207
Nd4 0.932 0.575 0.793
Nd5 0.290 0.290 0.793
Nd6 0.710 0.710 0.207
Cl1 0.825 0.175 0.500
Cl2 0.175 0.825 0.500
Cl3 0.500 0.500 0.500
Ru1 0.666 0.334 0.000
Ru2 0.334 0.666 0.000
Au1 0.000 0.000 0.000

---

no.,raw total energy (eV/atom)
1,-3.52
2,-6.20
3,-4.15
4,-4.79
5,-4.80
6,-4.78
7,-5.04
8,-5.92
9,-5.43
10,-5.25
11,-5.21
12,-5.66